A plane-wave DFT calculation with PBE was carried out for a relaxed structure of AlTc2Pt.

Unit cell a=2.7715 b=2.7715 c=26.6767 alpha=90.00 beta=90.00 gamma=120.00
Space group R-3m (No. 166, hexagonal axes)
Asymmetric unit:
Al  0.0000  0.0000  0.0000
Tc  0.0000  0.0000  0.2516
Pt  0.0000  0.0000  0.5000

Summary:
**E_form**: -0.1268 eV/atom